No. 1
Material: Tb3CdSb
Method: DFT, PBE
State: relaxed

Output
ΔE_f (raw): -0.09 eV per atom
Space-group type: No. 65
DOS(E_F): 5.4 states/eV/f.u.
Magnetization: 0.872 Bohr magnetons per cell
Uncorrected energy: -3.87 eV per atom

a b c (Å): 5.121 7.908 8.646
angles (deg): 117.21 90.00 90.00
Atoms (fractional coordinates):
Tb: 0.500 0.322 0.000
Tb: 0.000 0.837 0.675
Tb: 0.500 0.678 0.000
Tb: 0.500 0.500 0.500
Tb: 0.000 0.163 0.325
Tb: 0.500 0.000 0.500
Cd: 0.500 0.089 0.178
Cd: 0.500 0.911 0.822
Sb: 0.000 0.634 0.267
Sb: 0.000 0.366 0.733

---

No. 2
Material: Ac3Tm4Pb4
Method: DFT, PBE
State: relaxed

Output
Calculated formation energy: -2.489 eV per formula unit
Space-group type: No. 217
DOS(E_F): 12.7 states/eV/f.u.
Magnetization: 0.001 Bohr magnetons per cell
Uncorrected energy: -4.32 eV per atom

a b c (Å): 8.061 8.061 8.061
angles (deg): 109.47 109.47 109.47
Atoms (fractional coordinates):
Ac: 0.500 0.500 0.000
Ac: 0.500 0.000 0.500
Ac: 0.000 0.500 0.500
Tm: 0.000 0.254 0.000
Tm: 0.000 0.000 0.254
Tm: 0.254 0.000 0.000
Tm: 0.746 0.746 0.746
Pb: 0.000 0.615 0.000
Pb: 0.615 0.000 0.000
Pb: 0.000 0.000 0.615
Pb: 0.385 0.385 0.385

---

Number 1 is which compound?
Tb3CdSb